Below is crystalline BTePI2 at its relaxed geometry, with properties calculated at the PBE level.

* uncorrected formation energy: 5.7 eV/f.u.
* SG: P4/mmm
* electronic total energy: -12.59 eV/f.u.
* DOS(E_F): 2.911 states/eV/cell
* energy relative to the lowest polymorph listed for this composition: 0 meV/atom

Unit cell a=4.851 b=4.851 c=5.231 alpha=90.00 beta=90.00 gamma=90.00
Atoms (fractional coordinates):
B 0.000 0.000 0.000
Te 0.000 0.000 0.500
P 0.500 0.500 0.500
I 0.000 0.500 0.000
I 0.500 0.000 0.000